TaMn2As: optimized geometry, PBE.

Values from the calculation:
* final energy: -8.607 eV per atom
* calculated volume: 13.7 A^3/atom
* formation energy from the elements: 9.9 kJ/mol of atoms
* magnetization: 0.00 μB per formula unit

abc: 2.874 2.874 6.623
angles: 90.00 90.00 90.00
Space group P4mm (No. 99)
One atom of each set of equivalent atoms:
Ta (0.000, 0.000, 0.000) x1
Mn (0.000, 0.000, 0.526) x1
Mn (0.500, 0.500, 0.723) x1
As (0.500, 0.500, 0.299) x1